(1)
First-principles (PBE) data for a relaxed structure of MgIn2Si, as listed in Alexandria via LeMat-Bulk.

abc: 10.220 3.247 5.568
angles: 90.00 103.75 90.00
Space group C2/m (No. 12)
One atom of each set of equivalent atoms:
Mg (0.000, 0.000, 0.000)
In (0.245, 0.000, 0.743)
Si (0.000, 0.500, 0.500)

Results
- ΔE to the lowest computed polymorph: 0.065 eV/atom
- Crystal system: monoclinic
- ΔE_f (raw): 0.181 eV per atom


(2)
First-principles (PBE) data for a relaxed structure of ZnHg2F8, as listed in Alexandria via LeMat-Bulk.

abc: 13.968 4.144 5.217
angles: 90.00 102.20 90.00
Space group C2/m (No. 12)
One atom of each set of equivalent atoms:
Zn (0.000, 0.000, 0.000)
Hg (0.141, 0.500, 0.592)
F (0.025, 0.500, 0.791)
F (0.082, 0.000, 0.359)
F (0.129, 0.000, 0.902)
F (0.234, 0.500, 0.328)

Results
- ΔE to the lowest computed polymorph: 0.120 eV/atom
- Crystal system: monoclinic
- ΔE_f (raw): -1.283 eV per atom


(3)
First-principles (PBE) data for a relaxed structure of Ca2ZrRh, as listed in Alexandria via LeMat-Bulk.

abc: 3.483 3.502 9.017
angles: 90.00 90.00 90.00
Space group Pmm2 (No. 25)
One atom of each set of equivalent atoms:
Ca (0.000, 0.000, 0.000)
Ca (0.500, 0.500, 0.356)
Zr (0.500, 0.500, 0.711)
Rh (0.000, 0.000, 0.584)

Results
- ΔE to the lowest computed polymorph: 0.000 eV/atom
- Crystal system: orthorhombic


(4)
First-principles (PBE) data for a relaxed structure of TbNdTh2N4, as listed in Alexandria via LeMat-Bulk.

abc: 6.246 3.634 6.297
angles: 90.00 109.58 90.00
Space group P2/m (No. 10)
One atom of each set of equivalent atoms:
Tb (0.000, 0.000, 0.000)
Nd (0.000, 0.500, 0.500)
Th (0.500, 0.000, 0.500)
Th (0.500, 0.500, 0.000)
N (0.254, 0.500, 0.246)
N (0.260, 0.000, 0.759)

Results
- Crystal system: monoclinic
- ΔE_f (raw): -1.555 eV per atom


The following energy values (in eV/cell) correspond, in order, to the records above: -23.54, -61.93, -20.93, -69.98.